ScCo2 after structural relaxation, computed with GGA-PBE.

Computed properties:
M_tot	5.92	μB per cell
DFT formation energy	0.681	eV per atom

```
ScCo2
1.0
5.754 0.000 0.000
0.000 5.754 0.000
0.000 0.000 5.754
Sc Co
4 8
direct
0.000 0.000 0.000
0.000 0.500 0.500
0.500 0.000 0.500
0.500 0.500 0.000
0.250 0.250 0.250
0.250 0.250 0.750
0.250 0.750 0.250
0.250 0.750 0.750
0.750 0.250 0.250
0.750 0.250 0.750
0.750 0.750 0.250
0.750 0.750 0.750
```

ScTlCoSe3 after structural relaxation, computed with GGA-PBE.

Computed properties:
total DFT energy (no corrections)	-62.7	eV for the cell shown
M_tot	3.73	μB per cell

```
ScTlCoSe3
1.0
8.109 0.000 0.000
0.000 3.825 0.000
-3.546 0.000 9.795
Sc Tl Co Se
2 2 2 6
direct
0.026 0.250 0.350
0.974 0.750 0.650
0.482 0.250 0.206
0.518 0.750 0.794
0.016 0.750 0.092
0.984 0.250 0.908
0.163 0.750 0.934
0.197 0.250 0.620
0.238 0.750 0.311
0.762 0.250 0.689
0.803 0.750 0.380
0.837 0.250 0.066
```

Sc3CoSi3 after structural relaxation, computed with GGA-PBE.

Computed properties:
total DFT energy (no corrections)	-96.6	eV for the cell shown
M_tot	0.00	μB per cell

```
Sc3CoSi3
1.0
4.938 -1.979 0.000
4.938 1.979 0.000
-4.519 0.000 11.925
Sc Co Si
6 2 6
direct
0.023 0.023 0.379
0.100 0.100 0.920
0.244 0.244 0.228
0.756 0.756 0.772
0.900 0.900 0.080
0.977 0.977 0.621
0.254 0.254 0.585
0.746 0.746 0.415
0.366 0.366 0.454
0.381 0.381 0.924
0.455 0.455 0.759
0.545 0.545 0.241
0.619 0.619 0.076
0.634 0.634 0.546
```

Q: Among the records above, which one has the lowest M_tot?
A: Sc3CoSi3

Q: Which formula does entry 3 have?
A: Sc3CoSi3

Q: The lowest M_tot belongs to which entry?
A: Sc3CoSi3

Q: The highest M_tot belongs to which entry?
A: ScCo2